Ho8ThIn2, optimized geometry, DFT GGA-PBE; formation energy from the elements = -0.15 eV per atom; total energy = -51.1 eV per cell; volume = 29.62 Å³/atom
1.0
-1.973 1.914 4.313
-7.034 -3.832 -1.517
6.285 -5.708 2.377
Ho In Th
8 2 1
Direct
0.148 0.207 0.295
0.315 0.057 0.630
0.049 0.743 0.098
0.603 0.465 0.206
0.685 0.943 0.370
0.951 0.257 0.902
0.852 0.793 0.705
0.397 0.535 0.794
0.221 0.646 0.443
0.779 0.354 0.557
0.500 0.000 0.000

***

AsRuPt2, optimized geometry, DFT GGA-PBE; formation energy from the elements = 0.05 eV per atom; total energy = -25.8 eV per cell; volume = 15.36 Å³/atom
1.0
-2.699 -0.257 1.077
0.674 -2.633 1.061
2.174 3.043 6.172
Pt As Ru
2 1 1
Direct
0.500 0.500 0.261
0.000 0.000 0.986
0.500 0.500 0.732
0.000 0.000 0.521

***

Pm3Nd2Sn, optimized geometry, DFT GGA-PBE; formation energy from the elements = -0.20 eV per atom; total energy = -58.0 eV per cell; volume = 32.41 Å³/atom; energy above the most stable polymorph in this dataset = 58 meV per atom
1.0
3.611 0.000 0.000
0.000 9.951 1.167
0.000 -1.216 10.681
Nd Pm Sn
4 6 2
Direct
0.750 0.107 0.906
0.250 0.893 0.094
0.250 0.355 0.413
0.750 0.645 0.587
0.250 0.375 0.750
0.250 0.894 0.406
0.250 0.355 0.087
0.750 0.106 0.594
0.750 0.645 0.913
0.750 0.625 0.250
0.250 0.873 0.750
0.750 0.127 0.250

***

Sn2BiIr2, optimized geometry, DFT GGA-PBE; formation energy from the elements = 0.00 eV per atom; total energy = -59.2 eV per cell; volume = 20.12 Å³/atom; energy above the most stable polymorph in this dataset = 0 meV per atom
1.0
8.060 0.000 0.000
0.000 8.060 0.000
0.000 0.000 3.098
Sn Ir Bi
4 4 2
Direct
0.351 0.149 0.500
0.149 0.649 0.500
0.649 0.851 0.500
0.851 0.351 0.500
0.143 0.357 0.000
0.857 0.643 0.000
0.357 0.857 0.000
0.643 0.143 0.000
0.500 0.500 0.000
0.000 0.000 0.000

***

Pd2I6Cl, optimized geometry, DFT GGA-PBE; formation energy from raw total energies = -0.106 eV per atom; total energy = -22.5 eV per cell; volume = 40.09 Å³/atom
1.0
4.341 1.144 -0.044
-0.950 9.040 -1.226
-0.075 0.566 8.871
I Cl Pd
6 1 2
Direct
0.183 0.140 0.936
0.303 0.737 0.411
0.694 0.432 0.167
0.697 0.263 0.589
0.306 0.568 0.833
0.817 0.860 0.064
0.000 0.000 0.500
0.315 0.680 0.117
0.685 0.320 0.883

***

Rb3U2Te6Pd, optimized geometry, DFT GGA-PBE; formation energy from raw total energies = -0.711 eV per atom; total energy = -58.1 eV per cell; volume = 36.45 Å³/atom
1.0
-5.101 5.741 0.632
-2.367 -7.057 -1.993
1.331 -1.491 8.657
U Rb Te Pd
2 3 6 1
Direct
0.333 0.667 0.000
0.667 0.333 0.000
0.833 0.167 0.500
0.500 0.500 0.500
0.167 0.833 0.500
0.064 0.390 0.192
0.610 0.936 0.808
0.738 0.738 0.192
0.936 0.610 0.808
0.262 0.262 0.808
0.390 0.064 0.192
0.000 0.000 0.000